1.
The following is a PBE calculation of a relaxed structure of AsC3, from Alexandria via LeMat-Bulk.

Computed properties:
**Density**: 3.81 g/cm3
**Formation enthalpy at 0 K**: 1121 kJ/mol of formula units
**Crystal system**: hexagonal

Cell: 4.486 4.486 11.106 Å, 90.00 90.00 120.00°
Fractional coordinates of all 16 atoms:
1 C 0.454 0.227 0.250
2 C 0.500 0.500 0.000
3 C 0.000 0.500 0.500
4 C 0.227 0.454 0.750
5 C 0.500 0.500 0.500
6 C 0.773 0.546 0.250
7 C 0.500 0.000 0.000
8 C 0.500 0.000 0.500
9 C 0.546 0.773 0.750
10 C 0.773 0.227 0.250
11 C 0.227 0.773 0.750
12 C 0.000 0.500 0.000
13 As 0.667 0.333 0.750
14 As 0.000 0.000 0.500
15 As 0.333 0.667 0.250
16 As 0.000 0.000 0.000


2.
The following is a PBE calculation of a relaxed structure of KNdTe2, from Alexandria via LeMat-Bulk.

Computed properties:
**Density**: 4.77 g/cm3
**E_form (uncorrected)**: -1417 meV/atom
**Crystal system**: trigonal

Cell: 8.676 8.676 8.676 Å, 30.91 30.91 30.91°
Fractional coordinates of all 4 atoms:
1 K 0.500 0.500 0.500
2 Te 0.738 0.738 0.738
3 Te 0.262 0.262 0.262
4 Nd 0.000 0.000 0.000


3.
The following is a PBE calculation of a relaxed structure of Ag2PRu, from Alexandria via LeMat-Bulk.

Computed properties:
**Density**: 8.39 g/cm3
**Formation enthalpy at 0 K**: 201 kJ/mol of formula units
**Crystal system**: tetragonal

Cell: 7.584 7.584 5.873 Å, 49.79 49.79 90.00°
Site moments in Bohr magnetons follow the coordinates.
Fractional coordinates of all 8 atoms:
1 Ru 0.000 0.000 0.000  0.25
2 Ru 0.750 0.250 0.500  0.25
3 P 0.500 0.500 0.000  0.00
4 P 0.250 0.750 0.500  0.00
5 Ag 0.179 0.625 0.250  0.00
6 Ag 0.875 0.821 0.750  0.00
7 Ag 0.571 0.125 0.250  0.00
8 Ag 0.375 0.429 0.750  0.00


4.
The following is a PBE calculation of a relaxed structure of Sm5Si2I2, from Alexandria via LeMat-Bulk.

Computed properties:
**Density**: 7.05 g/cm3
**E_form (uncorrected)**: -753 meV/atom
**Crystal system**: orthorhombic

Cell: 7.966 7.921 8.868 Å, 90.00 63.31 90.00°
Fractional coordinates of all 18 atoms:
1 Sm 0.285 0.666 0.760
2 Sm 0.545 0.834 0.240
3 Sm 0.715 0.334 0.240
4 Sm 0.955 0.334 0.760
5 Sm 0.785 0.834 0.760
6 Sm 0.500 0.500 0.000
7 Sm 0.455 0.166 0.760
8 Sm 0.215 0.166 0.240
9 Sm 0.000 0.000 0.000
10 Sm 0.045 0.666 0.240
11 Si 0.868 0.632 0.000
12 Si 0.132 0.368 0.000
13 Si 0.632 0.132 0.000
14 Si 0.368 0.868 0.000
15 I 0.294 0.500 0.411
16 I 0.706 0.500 0.589
17 I 0.206 0.000 0.589
18 I 0.794 0.000 0.411


5.
The following is a PBE calculation of a relaxed structure of FeRe2Au, from Alexandria via LeMat-Bulk.

Computed properties:
**Density**: 17.18 g/cm3
**Formation enthalpy at 0 K**: 156 kJ/mol of formula units
**Crystal system**: tetragonal

Cell: 3.151 3.151 6.086 Å, 90.00 90.00 90.00°
Site moments in Bohr magnetons follow the coordinates.
Fractional coordinates of all 4 atoms:
1 Fe 0.500 0.500 0.750  2.13
2 Re 0.000 0.000 0.547  0.00
3 Re 0.000 0.000 0.953  0.00
4 Au 0.500 0.500 0.250  0.01


6.
The following is a PBE calculation of a relaxed structure of ZnFe6Co5, from Alexandria via LeMat-Bulk.

Computed properties:
**Density**: 8.23 g/cm3
**Formation enthalpy at 0 K**: -21 kJ/mol of formula units
**Crystal system**: monoclinic

Cell: 4.014 5.798 6.349 Å, 90.00 108.34 90.00°
Site moments in Bohr magnetons follow the coordinates.
Fractional coordinates of all 12 atoms:
1 Fe 0.831 0.746 0.662  2.75
2 Fe 0.500 0.258 0.000  2.69
3 Fe 0.500 0.742 0.000  2.69
4 Fe 0.169 0.746 0.338  2.75
5 Fe 0.169 0.254 0.338  2.75
6 Fe 0.831 0.254 0.662  2.75
7 Co 0.333 0.500 0.666  1.78
8 Co 0.000 0.500 0.000  1.75
9 Co 0.335 0.000 0.669  1.76
10 Co 0.667 0.500 0.334  1.78
11 Co 0.665 0.000 0.331  1.76
12 Zn 0.000 0.000 0.000  -0.07


7.
The following is a PBE calculation of a relaxed structure of ScHgP, from Alexandria via LeMat-Bulk.

Computed properties:
**Density**: 6.92 g/cm3
**Formation enthalpy at 0 K**: -170 kJ/mol of formula units
**Crystal system**: trigonal

Cell: 3.901 3.901 5.035 Å, 90.00 90.00 120.00°
Fractional coordinates of all 3 atoms:
1 P 0.667 0.333 0.365
2 Sc 0.333 0.667 0.609
3 Hg 0.000 0.000 0.026


8.
The following is a PBE calculation of a relaxed structure of PrZn10Rh2, from Alexandria via LeMat-Bulk.

Computed properties:
**Density**: 7.81 g/cm3
**Formation enthalpy at 0 K**: -332 kJ/mol of formula units
**Crystal system**: orthorhombic

Cell: 5.468 6.823 6.796 Å, 80.72 66.28 66.38°
Fractional coordinates of all 13 atoms:
1 Zn 0.351 0.639 0.660
2 Zn 0.010 0.639 0.340
3 Zn 0.279 0.222 0.219
4 Zn 0.649 0.361 0.340
5 Zn 0.990 0.361 0.660
6 Zn 0.501 0.778 0.219
7 Zn 0.499 0.222 0.781
8 Zn 0.721 0.778 0.781
9 Zn 0.000 0.000 0.500
10 Zn 0.500 0.000 0.500
11 Pr 0.000 0.000 0.000
12 Rh 0.500 0.500 0.000
13 Rh 0.000 0.500 0.000